A relaxed structure of MgHgSO, computed with PBE-GGA. Values from VASP.

Summary:
ΔE to the lowest computed polymorph   0.269 eV per atom

Cell and atoms, written as Quantum ESPRESSO input:
```
&SYSTEM
  ibrav = 0, nat = 32, ntyp = 4
/
ATOMIC_SPECIES
Mg 24.30 Mg.upf
Hg 200.59 Hg.upf
S 32.06 S.upf
O 16.00 O.upf
ATOMIC_POSITIONS crystal
Mg 0.0823 0.2200 0.1487
Mg 0.0823 0.2800 0.6487
Mg 0.4177 0.7200 0.1487
Mg 0.4177 0.7800 0.6487
Mg 0.5823 0.2200 0.3513
Mg 0.5823 0.2800 0.8513
Mg 0.9177 0.7200 0.3513
Mg 0.9177 0.7800 0.8513
Hg 0.2493 0.5731 0.5390
Hg 0.2493 0.9269 0.0390
Hg 0.2507 0.0731 0.5390
Hg 0.2507 0.4269 0.0390
Hg 0.7493 0.5731 0.9610
Hg 0.7493 0.9269 0.4610
Hg 0.7507 0.0731 0.9610
Hg 0.7507 0.4269 0.4610
S 0.0339 0.0313 0.2472
S 0.0339 0.4687 0.7472
S 0.4661 0.5313 0.2472
S 0.4661 0.9687 0.7472
S 0.5339 0.0313 0.2528
S 0.5339 0.4687 0.7528
S 0.9661 0.5313 0.2528
S 0.9661 0.9687 0.7528
O 0.2486 0.7462 0.4054
O 0.2486 0.7538 0.9054
O 0.2514 0.2462 0.4054
O 0.2514 0.2538 0.9054
O 0.7486 0.7462 0.0946
O 0.7486 0.7538 0.5946
O 0.7514 0.2462 0.0946
O 0.7514 0.2538 0.5946
CELL_PARAMETERS angstrom
6.7204 0.0000 0.0000
0.0000 12.9182 0.0000
0.0000 0.0000 6.7945
```